A relaxed structure of NaScFeO3, computed with GGA+U.

Structure (CIF):
```
data_NaScFeO3
_cell_length_a 6.8640
_cell_length_b 3.1770
_cell_length_c 8.9641
_cell_angle_alpha 90.00
_cell_angle_beta 94.55
_cell_angle_gamma 90.00
_symmetry_space_group_name_H-M 'P 1 21/m 1'
_symmetry_Int_Tables_number 11
_symmetry_space_group_name_Hall '-P 2yb'
loop_
_atom_site_label
_atom_site_fract_x
_atom_site_fract_y
_atom_site_fract_z
_atom_site_occupancy
Na1 0.2190 0.2500 0.2383 1
Sc1 0.1347 0.2500 0.6120 1
Fe1 0.3957 0.7500 0.8924 1
O1 0.1512 0.7500 0.7586 1
O2 0.1524 0.7500 0.4489 1
O3 0.4171 0.7500 0.1290 1
```

* uncorrected energy: -6.8535 eV per atom